# BaCrCu2

BaCrCu2 at its PBEsol-relaxed geometry (meta-GGA SCAN, Alexandria via LeMat-Bulk).

VASP energy = -86.93 eV/f.u.
SG = P4/mmm (123)
total magnetization = 4.00 μB per cell

Cell: 3.282 3.282 7.102 Å, 90.00 90.00 90.00°
Fractional positions:
Cr1 0.500 0.500 0.500
Cu1 0.000 0.000 0.330
Cu2 0.000 0.000 0.670
Ba1 0.500 0.500 0.000